Computed, not measured: a relaxed structure of K4Pm3FeO8 at the PBE with a Hubbard U level of DFT.

The structure belongs to space group R-3m (No. 166, hexagonal axes); the cell edges are 7.0007, 7.0007 and 18.8009 Å and the angles 90.00°, 90.00° and 120.00°. The inequivalent atoms are K at (0.0000, 0.0000, 0.0000), K at (0.0000, 0.5000, 0.0000), Pm at (0.0000, 0.5000, 0.5000), Fe at (0.0000, 0.0000, 0.5000), O at (0.0000, 0.0000, 0.2308) and O at (0.0227, 0.5113, 0.2282).

The raw total energy is -6.282 eV/atom. For the total magnetization, the calculation gives 5.2 μB/f.u. For the density of states at the Fermi level, the calculation gives 0.000 states/eV per atom.